CaZr2Te: relaxed, PBEsol.

a = 11.161 Å, b = 3.440 Å, c = 5.273 Å
α = 90.00°, β = 105.09°, γ = 90.00°
Space group C2/m (No. 12)
Asymmetric unit:
Ca (0.000, 0.000, 0.000)
Zr (0.224, 0.000, 0.721)
Te (0.000, 0.500, 0.500)

Calculated values
* formation energy (no corrections): -230 meV per atom
* density of states at the Fermi level: 1.0634 states/eV per atom

---

Li7NiOF7: relaxed, PBEsol.

a = 12.443 Å, b = 2.865 Å, c = 9.513 Å
α = 90.00°, β = 128.42°, γ = 90.00°
Space group Cm (No. 8)
Asymmetric unit:
Li (0.000, 0.000, 0.000)
Li (0.004, 0.500, 0.504)
Li (0.122, 0.000, 0.374)
Li (0.128, 0.500, 0.892)
Li (0.249, 0.500, 0.249)
Li (0.262, 0.000, 0.772)
Li (0.378, 0.000, 0.132)
Ni (0.385, 0.500, 0.653)
O (0.440, 0.000, 0.818)
F (0.066, 0.500, 0.198)
F (0.068, 0.000, 0.692)
F (0.186, 0.500, 0.564)
F (0.195, 0.000, 0.076)
F (0.313, 0.500, 0.949)
F (0.314, 0.000, 0.439)
F (0.441, 0.500, 0.321)

Calculated values
* formation energy (no corrections): -2601 meV per atom

---

ZrAlRe: relaxed, PBEsol.

a = 6.257 Å, b = 6.257 Å, c = 6.257 Å
α = 90.00°, β = 90.00°, γ = 90.00°
Space group F-43m (No. 216)
Asymmetric unit:
Zr (0.000, 0.000, 0.000)
Al (0.250, 0.250, 0.250)
Re (0.250, 0.250, 0.750)

Calculated values
* density of states at the Fermi level: 0.8270 states/eV per atom
* formation energy from the elements: 20.7 kcal/mol of atoms

---

BaSb2RuI: relaxed, PBEsol.

a = 6.137 Å, b = 6.137 Å, c = 6.226 Å
α = 90.00°, β = 90.00°, γ = 90.00°
Space group P4/mmm (No. 123)
Asymmetric unit:
Ba (0.000, 0.000, 0.000)
Sb (0.000, 0.500, 0.000)
Ru (0.500, 0.500, 0.500)
I (0.000, 0.000, 0.500)

Calculated values
* formation energy (no corrections): 1680 meV per atom
* density of states at the Fermi level: 1.8370 states/eV per atom